Entry from Alexandria: crystalline Re4Mo3 at its relaxed geometry (GGA-PBE). Values from VASP.

Values from the calculation:
Symmetry: I4/mmm
ΔE_f (eV/atom): 0.145
Polymorph energy (0 for the lowest one) (kJ per mole of atoms): 0.0

Cell and atoms, written as Quantum ESPRESSO input:
```
&SYSTEM
  ibrav = 0, nat = 7, ntyp = 2
/
ATOMIC_SPECIES
Re 186.21 Re.upf
Mo 95.94 Mo.upf
ATOMIC_POSITIONS crystal
Re 0.1439 0.1439 0.0000
Re 0.4297 0.4297 0.0000
Re 0.5703 0.5703 0.0000
Re 0.8561 0.8561 0.0000
Mo 0.0000 0.0000 0.0000
Mo 0.2862 0.2862 0.0000
Mo 0.7138 0.7138 0.0000
CELL_PARAMETERS angstrom
1.7068 9.1693 6.1924
0.7321 10.9430 2.2477
-3.3679 -10.0244 -3.6749
```

***

Entry from Alexandria: crystalline Re3Mo5 at its relaxed geometry (GGA-PBE). Values from VASP.

Values from the calculation:
Symmetry: P-1
ΔE_f (eV/atom): 0.221
Polymorph energy (0 for the lowest one) (kJ per mole of atoms): 0.0

Cell and atoms, written as Quantum ESPRESSO input:
```
&SYSTEM
  ibrav = 0, nat = 16, ntyp = 2
/
ATOMIC_SPECIES
Re 186.21 Re.upf
Mo 95.94 Mo.upf
ATOMIC_POSITIONS crystal
Re 0.4969 0.6975 0.1403
Re 0.9985 0.2503 0.0018
Re 0.1408 0.1983 0.4964
Re 0.8603 0.8015 0.5036
Re 0.0019 0.7504 0.9982
Re 0.5043 0.3023 0.8597
Mo 0.8371 0.2106 0.7009
Mo 0.2977 0.9301 0.8343
Mo 0.5007 0.7500 0.4997
Mo 0.8345 0.4288 0.2975
Mo 0.7013 0.7110 0.8365
Mo 0.2992 0.2892 0.1631
Mo 0.1665 0.5709 0.7027
Mo 0.5001 0.2499 0.5004
Mo 0.7029 0.0698 0.1661
Mo 0.1639 0.7894 0.2989
CELL_PARAMETERS angstrom
7.6546 0.0872 0.0158
1.6639 4.6633 0.0574
0.8471 2.4157 7.2060
```

***

Entry from Alexandria: crystalline ReMo4 at its relaxed geometry (GGA-PBE). Values from VASP.

Values from the calculation:
Symmetry: I4/m
ΔE_f (eV/atom): 0.016
Polymorph energy (0 for the lowest one) (kJ per mole of atoms): 0.0

Cell and atoms, written as Quantum ESPRESSO input:
```
&SYSTEM
  ibrav = 0, nat = 5, ntyp = 2
/
ATOMIC_SPECIES
Mo 95.94 Mo.upf
Re 186.21 Re.upf
ATOMIC_POSITIONS crystal
Mo 0.8004 0.8022 0.4029
Mo 0.1996 0.1978 0.5971
Mo 0.6025 0.5971 0.8022
Mo 0.3975 0.4029 0.1978
Re 0.0000 0.0000 0.0000
CELL_PARAMETERS angstrom
-2.7068 0.6354 1.5086
-0.8993 -3.9058 3.3480
3.8886 2.1182 2.7684
```

***

Entry from Alexandria: crystalline Re3Mo4 at its relaxed geometry (GGA-PBE). Values from VASP.

Values from the calculation:
Symmetry: P6/mmm
ΔE_f (eV/atom): 0.094

Cell and atoms, written as Quantum ESPRESSO input:
```
&SYSTEM
  ibrav = 0, nat = 7, ntyp = 2
/
ATOMIC_SPECIES
Re 186.21 Re.upf
Mo 95.94 Mo.upf
ATOMIC_POSITIONS crystal
Re 0.0000 0.5000 0.0000
Re 0.5000 0.5000 0.0000
Re 0.5000 0.0000 0.0000
Mo 0.0000 0.0000 0.2615
Mo 0.0000 0.0000 0.7385
Mo 0.6667 0.3333 0.5000
Mo 0.3333 0.6667 0.5000
CELL_PARAMETERS angstrom
-0.5447 0.4068 5.0508
-1.2178 -4.3542 -2.3518
4.6578 -1.6456 0.6348
```

***

Entry from Alexandria: crystalline Re4Mo at its relaxed geometry (GGA-PBE). Values from VASP.

Values from the calculation:
Symmetry: Pm-3m
ΔE_f (eV/atom): 2.556
Polymorph energy (0 for the lowest one) (kJ per mole of atoms): 236.6

Cell and atoms, written as Quantum ESPRESSO input:
```
&SYSTEM
  ibrav = 0, nat = 5, ntyp = 2
/
ATOMIC_SPECIES
Re 186.21 Re.upf
Mo 95.94 Mo.upf
ATOMIC_POSITIONS crystal
Re 0.0000 0.0000 0.0000
Re 0.5000 0.0000 0.5000
Re 0.0000 0.5000 0.5000
Re 0.5000 0.5000 0.0000
Mo 0.5000 0.5000 0.5000
CELL_PARAMETERS angstrom
4.6069 0.0000 0.0000
0.0000 4.6069 0.0000
0.0000 0.0000 4.6069
```

***

Entry from Alexandria: crystalline Re13Mo2 at its relaxed geometry (GGA-PBE). Values from VASP.

Values from the calculation:
Symmetry: R-3m
ΔE_f (eV/atom): 0.718

Cell and atoms, written as Quantum ESPRESSO input:
```
&SYSTEM
  ibrav = 0, nat = 15, ntyp = 2
/
ATOMIC_SPECIES
Re 186.21 Re.upf
Mo 95.94 Mo.upf
ATOMIC_POSITIONS crystal
Re 0.5000 0.5000 0.5000
Re 0.0351 0.6575 0.6498
Re 0.6575 0.6575 0.6498
Re 0.6575 0.0351 0.6498
Re 0.3425 0.9649 0.3502
Re 0.9649 0.3425 0.3502
Re 0.3425 0.3425 0.3502
Re 0.2008 0.7966 0.2061
Re 0.7966 0.7966 0.2061
Re 0.7966 0.2008 0.2061
Re 0.2034 0.7992 0.7939
Re 0.7992 0.2034 0.7939
Re 0.2034 0.2034 0.7939
Mo 0.6557 0.6557 0.0329
Mo 0.3443 0.3443 0.9671
CELL_PARAMETERS angstrom
-6.2581 -2.8296 -1.2723
-4.6001 -0.7843 5.1974
-5.7885 4.0960 0.1885
```

***

Entry from Alexandria: crystalline ReMo4 at its relaxed geometry (GGA-PBE). Values from VASP.

Values from the calculation:
Symmetry: Im-3m
ΔE_f (eV/atom): 1.340
Polymorph energy (0 for the lowest one) (kJ per mole of atoms): 127.7

Cell and atoms, written as Quantum ESPRESSO input:
```
&SYSTEM
  ibrav = 0, nat = 5, ntyp = 2
/
ATOMIC_SPECIES
Re 186.21 Re.upf
Mo 95.94 Mo.upf
ATOMIC_POSITIONS crystal
Re 0.0000 0.0000 0.0000
Mo 0.5000 0.0000 0.0000
Mo 0.5000 0.5000 0.5000
Mo 0.0000 0.5000 0.0000
Mo 0.0000 0.0000 0.5000
CELL_PARAMETERS angstrom
-2.9020 2.9020 2.9020
2.9020 -2.9020 2.9020
2.9020 2.9020 -2.9020
```

***

Entry from Alexandria: crystalline Re5Mo4 at its relaxed geometry (GGA-PBE). Values from VASP.

Values from the calculation:
Symmetry: P6_3/mcm
ΔE_f (eV/atom): 0.310
Polymorph energy (0 for the lowest one) (kJ per mole of atoms): 17.1

Cell and atoms, written as Quantum ESPRESSO input:
```
&SYSTEM
  ibrav = 0, nat = 18, ntyp = 2
/
ATOMIC_SPECIES
Re 186.21 Re.upf
Mo 95.94 Mo.upf
ATOMIC_POSITIONS crystal
Re 0.0000 0.6879 0.2500
Re 0.3121 0.3121 0.2500
Re 0.6879 0.0000 0.2500
Re 0.0000 0.3121 0.7500
Re 0.6879 0.6879 0.7500
Re 0.3121 0.0000 0.7500
Re 0.6667 0.3333 0.0000
Re 0.3333 0.6667 0.5000
Re 0.3333 0.6667 0.0000
Re 0.6667 0.3333 0.5000
Mo 0.0000 0.0000 0.0000
Mo 0.0000 0.0000 0.5000
Mo 0.0000 0.3633 0.2500
Mo 0.6367 0.6367 0.2500
Mo 0.3633 0.0000 0.2500
Mo 0.0000 0.6367 0.7500
Mo 0.3633 0.3633 0.7500
Mo 0.6367 0.0000 0.7500
CELL_PARAMETERS angstrom
7.7834 0.0000 0.0000
-3.8917 6.7406 0.0000
0.0000 0.0000 5.3526
```

***

Entry from Alexandria: crystalline Re4Mo at its relaxed geometry (GGA-PBE). Values from VASP.

Values from the calculation:
Symmetry: I4/m
ΔE_f (eV/atom): 0.104
Polymorph energy (0 for the lowest one) (kJ per mole of atoms): 0.0

Cell and atoms, written as Quantum ESPRESSO input:
```
&SYSTEM
  ibrav = 0, nat = 5, ntyp = 2
/
ATOMIC_SPECIES
Re 186.21 Re.upf
Mo 95.94 Mo.upf
ATOMIC_POSITIONS crystal
Re 0.4044 0.8015 0.2059
Re 0.5956 0.1985 0.7941
Re 0.8015 0.5956 0.3970
Re 0.1985 0.4044 0.6030
Mo 0.0000 0.0000 0.0000
CELL_PARAMETERS angstrom
-3.1086 3.1086 1.9682
3.1086 -3.1086 1.9682
3.1086 3.1086 -1.9682
```

***

Entry from Alexandria: crystalline Re8Mo at its relaxed geometry (GGA-PBE). Values from VASP.

Values from the calculation:
Symmetry: I4/mmm
ΔE_f (eV/atom): 0.083

Cell and atoms, written as Quantum ESPRESSO input:
```
&SYSTEM
  ibrav = 0, nat = 9, ntyp = 2
/
ATOMIC_SPECIES
Re 186.21 Re.upf
Mo 95.94 Mo.upf
ATOMIC_POSITIONS crystal
Re 0.6639 0.0000 0.6639
Re 0.3361 0.0000 0.3361
Re 0.0000 0.6639 0.6639
Re 0.6701 0.6701 0.3401
Re 0.3299 0.6701 0.0000
Re 0.0000 0.3361 0.3361
Re 0.6701 0.3299 0.0000
Re 0.3299 0.3299 0.6599
Mo 0.0000 0.0000 0.0000
CELL_PARAMETERS angstrom
-4.1638 4.1638 1.9641
4.1638 -4.1638 1.9641
4.1638 4.1638 -1.9641
```

***

Entry from Alexandria: crystalline ReMo4 at its relaxed geometry (GGA-PBE). Values from VASP.

Values from the calculation:
Symmetry: Pm-3m
ΔE_f (eV/atom): 1.887
Polymorph energy (0 for the lowest one) (kJ per mole of atoms): 180.4

Cell and atoms, written as Quantum ESPRESSO input:
```
&SYSTEM
  ibrav = 0, nat = 5, ntyp = 2
/
ATOMIC_SPECIES
Re 186.21 Re.upf
Mo 95.94 Mo.upf
ATOMIC_POSITIONS crystal
Re 0.5000 0.5000 0.5000
Mo 0.0000 0.0000 0.0000
Mo 0.5000 0.0000 0.5000
Mo 0.0000 0.5000 0.5000
Mo 0.5000 0.5000 0.0000
CELL_PARAMETERS angstrom
-0.0723 1.0422 4.5749
-2.8806 -3.6216 0.7795
3.7038 -2.7963 0.6955
```

***

Entry from Alexandria: crystalline ReMo7 at its relaxed geometry (GGA-PBE). Values from VASP.

Values from the calculation:
Symmetry: Fm-3m
ΔE_f (eV/atom): 0.350
Polymorph energy (0 for the lowest one) (kJ per mole of atoms): 33.2

Cell and atoms, written as Quantum ESPRESSO input:
```
&SYSTEM
  ibrav = 0, nat = 8, ntyp = 2
/
ATOMIC_SPECIES
Re 186.21 Re.upf
Mo 95.94 Mo.upf
ATOMIC_POSITIONS crystal
Re 0.0000 0.0000 0.0000
Mo 0.5000 0.0000 0.5000
Mo 0.5000 0.5000 0.0000
Mo 0.0000 0.5000 0.5000
Mo 0.5000 0.0000 0.0000
Mo 0.0000 0.0000 0.5000
Mo 0.0000 0.5000 0.0000
Mo 0.5000 0.5000 0.5000
CELL_PARAMETERS angstrom
0.0000 3.9910 3.9910
3.9910 0.0000 3.9910
3.9910 3.9910 0.0000
```

***

Entry from Alexandria: crystalline Re5Mo3 at its relaxed geometry (GGA-PBE). Values from VASP.

Values from the calculation:
Symmetry: P6_3/mcm
ΔE_f (eV/atom): 0.427
Polymorph energy (0 for the lowest one) (kJ per mole of atoms): 27.0

Cell and atoms, written as Quantum ESPRESSO input:
```
&SYSTEM
  ibrav = 0, nat = 16, ntyp = 2
/
ATOMIC_SPECIES
Re 186.21 Re.upf
Mo 95.94 Mo.upf
ATOMIC_POSITIONS crystal
Re 0.2140 0.2500 0.0000
Re 0.7860 0.7500 0.0000
Re 0.0000 0.2500 0.2140
Re 0.2140 0.7500 0.2140
Re 0.6667 0.0000 0.3333
Re 0.6667 0.5000 0.3333
Re 0.3333 0.0000 0.6667
Re 0.3333 0.5000 0.6667
Re 0.0000 0.7500 0.7860
Re 0.7860 0.2500 0.7860
Mo 0.4073 0.7500 0.0000
Mo 0.5927 0.2500 0.0000
Mo 0.0000 0.7500 0.4074
Mo 0.4074 0.2500 0.4074
Mo 0.0000 0.2500 0.5927
Mo 0.5926 0.7500 0.5926
CELL_PARAMETERS angstrom
-2.9139 -6.3146 -3.1987
-1.1977 -1.7435 4.5330
-4.4642 6.1073 1.1696
```

***

Entry from Alexandria: crystalline Re24Mo5 at its relaxed geometry (GGA-PBE). Values from VASP.

Values from the calculation:
Symmetry: I-43m
ΔE_f (eV/atom): -0.012

Cell and atoms, written as Quantum ESPRESSO input:
```
&SYSTEM
  ibrav = 0, nat = 29, ntyp = 2
/
ATOMIC_SPECIES
Mo 95.94 Mo.upf
Re 186.21 Re.upf
ATOMIC_POSITIONS crystal
Mo 0.0000 0.6425 0.0000
Mo 0.6425 0.0000 0.0000
Mo 0.0000 0.0000 0.6425
Mo 0.3575 0.3575 0.3575
Mo 0.0000 0.0000 0.0000
Re 0.1935 0.3760 0.0000
Re 0.3760 0.1935 0.0000
Re 0.8065 0.8065 0.1825
Re 0.6240 0.6240 0.8175
Re 0.8065 0.1825 0.8065
Re 0.6240 0.8175 0.6240
Re 0.3760 0.0000 0.1935
Re 0.1935 0.0000 0.3760
Re 0.0000 0.3760 0.1935
Re 0.0000 0.1935 0.3760
Re 0.8175 0.6240 0.6240
Re 0.1825 0.8065 0.8065
Re 0.6846 0.4008 0.0000
Re 0.4008 0.6846 0.0000
Re 0.3154 0.3154 0.7162
Re 0.5992 0.5992 0.2838
Re 0.3154 0.7162 0.3154
Re 0.5992 0.2838 0.5992
Re 0.4008 0.0000 0.6846
Re 0.6846 0.0000 0.4008
Re 0.0000 0.4008 0.6846
Re 0.0000 0.6846 0.4008
Re 0.2838 0.5992 0.5992
Re 0.7162 0.3154 0.3154
CELL_PARAMETERS angstrom
8.3442 0.0000 0.0000
-2.7814 7.8670 0.0000
-2.7814 -3.9335 6.8130
```

***

Entry from Alexandria: crystalline Re3Mo5 at its relaxed geometry (GGA-PBE). Values from VASP.

Values from the calculation:
Symmetry: P6_3/mcm
ΔE_f (eV/atom): 0.263
Polymorph energy (0 for the lowest one) (kJ per mole of atoms): 4.0

Cell and atoms, written as Quantum ESPRESSO input:
```
&SYSTEM
  ibrav = 0, nat = 16, ntyp = 2
/
ATOMIC_SPECIES
Re 186.21 Re.upf
Mo 95.94 Mo.upf
ATOMIC_POSITIONS crystal
Re 0.4034 0.7500 0.0000
Re 0.5966 0.2500 0.0000
Re 0.0000 0.7500 0.4034
Re 0.4034 0.2500 0.4034
Re 0.0000 0.2500 0.5966
Re 0.5966 0.7500 0.5966
Mo 0.2335 0.2500 0.0000
Mo 0.7665 0.7500 0.0000
Mo 0.0000 0.2500 0.2335
Mo 0.2335 0.7500 0.2335
Mo 0.6667 0.0000 0.3333
Mo 0.6667 0.5000 0.3333
Mo 0.3333 0.0000 0.6667
Mo 0.3333 0.5000 0.6667
Mo 0.0000 0.7500 0.7665
Mo 0.7665 0.2500 0.7665
CELL_PARAMETERS angstrom
7.6188 0.0000 0.0000
0.0000 5.1333 0.0000
-3.8094 0.0000 6.5980
```

***

Entry from Alexandria: crystalline Re7Mo at its relaxed geometry (GGA-PBE). Values from VASP.

Values from the calculation:
Symmetry: Fm-3m
ΔE_f (eV/atom): 0.076

Cell and atoms, written as Quantum ESPRESSO input:
```
&SYSTEM
  ibrav = 0, nat = 8, ntyp = 2
/
ATOMIC_SPECIES
Re 186.21 Re.upf
Mo 95.94 Mo.upf
ATOMIC_POSITIONS crystal
Re 0.0000 0.5000 0.5000
Re 0.5000 0.0000 0.5000
Re 0.5000 0.5000 0.0000
Re 0.0000 0.0000 0.5000
Re 0.0000 0.5000 0.0000
Re 0.5000 0.0000 0.0000
Re 0.5000 0.5000 0.5000
Mo 0.0000 0.0000 0.0000
CELL_PARAMETERS angstrom
0.0000 3.9266 3.9266
3.9266 0.0000 3.9266
3.9266 3.9266 0.0000
```

***

Entry from Alexandria: crystalline Re4Mo5 at its relaxed geometry (GGA-PBE). Values from VASP.

Values from the calculation:
Symmetry: I4/mmm
ΔE_f (eV/atom): 0.091

Cell and atoms, written as Quantum ESPRESSO input:
```
&SYSTEM
  ibrav = 0, nat = 9, ntyp = 2
/
ATOMIC_SPECIES
Re 186.21 Re.upf
Mo 95.94 Mo.upf
ATOMIC_POSITIONS crystal
Re 0.3338 0.0000 0.3338
Re 0.6662 0.0000 0.6662
Re 0.0000 0.6662 0.6662
Re 0.0000 0.3338 0.3338
Mo 0.0000 0.0000 0.0000
Mo 0.3328 0.6672 0.0000
Mo 0.6672 0.6672 0.3344
Mo 0.3328 0.3328 0.6656
Mo 0.6672 0.3328 0.0000
CELL_PARAMETERS angstrom
-0.7513 -5.2256 -4.3565
-2.2924 4.5104 4.6100
0.1063 4.6454 -5.0259
```

***

Entry from Alexandria: crystalline ReMo7 at its relaxed geometry (GGA-PBE). Values from VASP.

Values from the calculation:
Symmetry: R-3m
ΔE_f (eV/atom): 0.006
Polymorph energy (0 for the lowest one) (kJ per mole of atoms): 0.0

Cell and atoms, written as Quantum ESPRESSO input:
```
&SYSTEM
  ibrav = 0, nat = 16, ntyp = 2
/
ATOMIC_SPECIES
Re 186.21 Re.upf
Mo 95.94 Mo.upf
ATOMIC_POSITIONS crystal
Re 0.8746 0.8746 0.1254
Re 0.1254 0.1254 0.8746
Mo 0.6253 0.6253 0.3747
Mo 0.6248 0.1254 0.3752
Mo 0.1254 0.6248 0.3752
Mo 0.1251 0.1251 0.3749
Mo 0.8749 0.3749 0.1251
Mo 0.3749 0.8749 0.1251
Mo 0.3752 0.3752 0.1254
Mo 0.6248 0.6248 0.8746
Mo 0.6251 0.1251 0.8749
Mo 0.1251 0.6251 0.8749
Mo 0.8749 0.8749 0.6251
Mo 0.8746 0.3752 0.6248
Mo 0.3752 0.8746 0.6248
Mo 0.3747 0.3747 0.6253
CELL_PARAMETERS angstrom
-1.4871 -3.4023 -5.1096
-4.3455 -3.1308 3.3481
-4.3352 4.3047 -1.6034
```

***

Entry from Alexandria: crystalline Re5Mo3 at its relaxed geometry (GGA-PBE). Values from VASP.

Values from the calculation:
Symmetry: P1
ΔE_f (eV/atom): 0.267
Polymorph energy (0 for the lowest one) (kJ per mole of atoms): 11.5

Cell and atoms, written as Quantum ESPRESSO input:
```
&SYSTEM
  ibrav = 0, nat = 16, ntyp = 2
/
ATOMIC_SPECIES
Re 186.21 Re.upf
Mo 95.94 Mo.upf
ATOMIC_POSITIONS crystal
Re 0.0663 0.6862 0.8460
Re 0.2275 0.8456 0.2808
Re 0.2460 0.5004 0.5132
Re 0.2536 0.3136 0.8461
Re 0.4423 0.7862 0.6786
Re 0.5719 0.1539 0.2809
Re 0.7441 0.7205 0.1805
Re 0.7560 0.4994 0.5034
Re 0.7295 0.2146 0.6805
Re 0.9626 0.2790 0.1787
Mo 0.2090 0.1172 0.5330
Mo 0.2221 0.9981 0.9477
Mo 0.3412 0.4998 0.1609
Mo 0.6887 0.5010 0.8956
Mo 0.7204 0.0011 0.9477
Mo 0.8257 0.8837 0.5332
CELL_PARAMETERS angstrom
4.9725 -0.0048 0.0426
2.4831 7.4242 0.0205
-2.4103 0.0052 6.7798
```

***

Entry from Alexandria: crystalline Re2Mo5 at its relaxed geometry (GGA-PBE). Values from VASP.

Values from the calculation:
Symmetry: C2/m
ΔE_f (eV/atom): 0.033

Cell and atoms, written as Quantum ESPRESSO input:
```
&SYSTEM
  ibrav = 0, nat = 7, ntyp = 2
/
ATOMIC_SPECIES
Re 186.21 Re.upf
Mo 95.94 Mo.upf
ATOMIC_POSITIONS crystal
Re 0.0712 0.1425 0.2157
Re 0.9288 0.8575 0.7843
Mo 0.3579 0.7158 0.0741
Mo 0.6421 0.2842 0.9259
Mo 0.2160 0.4319 0.6460
Mo 0.5000 0.0000 0.5000
Mo 0.7840 0.5681 0.3540
CELL_PARAMETERS angstrom
-2.4868 -3.4679 1.1985
1.9744 -0.2537 -4.8338
4.3154 -2.6208 1.3708
```